Entry 1:
DFT (PBE) results for an optimized crystal structure of KAlPCl2.

extended XYZ file:
```
5
Lattice="5.844 0.000 0.000 0.000 5.844 0.000 0.000 0.000 5.949" Properties=species:S:1:pos:R:3 pbc="T T T"
K 0.000 0.000 0.000
Al 2.922 2.922 2.975
P 0.000 0.000 2.975
Cl 0.000 2.922 0.000
Cl 2.922 0.000 0.000
```

Excess energy over the best structure of this formula in the dataset, eV per atom: 1.015
Formation energy from raw total energies, meV/atom: 234

Entry 2:
DFT (PBE) results for an optimized crystal structure of BPPt2.

extended XYZ file:
```
4
Lattice="0.000 2.967 2.967 2.967 0.000 2.967 2.967 2.967 0.000" Properties=species:S:1:pos:R:3 pbc="T T T"
B 0.000 0.000 0.000
P 2.967 2.967 2.967
Pt 1.483 1.483 1.483
Pt 4.450 4.450 4.450
```

Excess energy over the best structure of this formula in the dataset, eV per atom: 0.667
Energy relative to the elements, eV/atom: 0.4782

Entry 3:
DFT (PBE) results for an optimized crystal structure of MoRuPb.

extended XYZ file:
```
3
Lattice="3.021 0.000 0.000 -1.511 2.617 0.000 0.000 0.000 7.015" Properties=species:S:1:pos:R:3 pbc="T T T"
Mo 0.000 0.000 0.000
Ru 0.000 1.744 5.086
Pb 1.511 0.872 2.577
```

Energy relative to the elements, eV/atom: 0.5281

Total magnetic moment values (in μB/cell) by entry order: 3.06 0.00 0.00.
Raw total energy values (in eV/atom) by entry order: -2.555 -5.564 -7.410.